[1]
# GGA+U FeF6, optimized geometry
# E ... -3.616 eV per atom
data_FeF6
_chemical_formula_sum 'Fe4 F24'
_symmetry_space_group_name_H-M 'P 1'
_symmetry_Int_Tables_number 1
_cell_length_a 5.174
_cell_length_b 8.053
_cell_length_c 10.245
_cell_angle_alpha 90.00
_cell_angle_beta 90.00
_cell_angle_gamma 90.00
loop_
_symmetry_equiv_pos_as_xyz
'x,y,z'
loop_
_atom_site_label
_atom_site_fract_x
_atom_site_fract_y
_atom_site_fract_z
F1 0.882 0.094 0.702
F2 0.268 0.094 0.551
F3 0.363 0.750 0.011
F4 0.215 0.250 0.264
F5 0.785 0.750 0.736
F6 0.768 0.594 0.949
F7 0.382 0.594 0.798
F8 0.285 0.250 0.764
F9 0.118 0.594 0.298
F10 0.232 0.406 0.051
F11 0.268 0.406 0.551
F12 0.732 0.594 0.449
F13 0.637 0.250 0.989
F14 0.137 0.750 0.511
F15 0.732 0.906 0.449
F16 0.768 0.906 0.949
F17 0.382 0.906 0.798
F18 0.863 0.250 0.489
F19 0.618 0.094 0.202
F20 0.715 0.750 0.236
F21 0.232 0.094 0.051
F22 0.118 0.906 0.298
F23 0.618 0.406 0.202
F24 0.882 0.406 0.702
Fe1 0.425 0.250 0.126
Fe2 0.075 0.250 0.626
Fe3 0.575 0.750 0.874
Fe4 0.925 0.750 0.374

---

[2]
# GGA+U FeF3, optimized geometry
# E ... -5.266 eV per atom
data_FeF3
_chemical_formula_sum 'Fe2 F6'
_symmetry_space_group_name_H-M 'P 1'
_symmetry_Int_Tables_number 1
_cell_length_a 5.126
_cell_length_b 5.126
_cell_length_c 5.436
_cell_angle_alpha 61.83
_cell_angle_beta 61.83
_cell_angle_gamma 59.99
loop_
_symmetry_equiv_pos_as_xyz
'x,y,z'
loop_
_atom_site_label
_atom_site_fract_x
_atom_site_fract_y
_atom_site_fract_z
F1 0.866 0.634 0.250
F2 0.750 0.134 0.750
F3 0.250 0.866 0.250
F4 0.634 0.250 0.250
F5 0.134 0.366 0.750
F6 0.366 0.750 0.750
Fe1 0.000 0.000 0.000
Fe2 0.500 0.500 0.500

---

[3]
# GGA+U Fe4F, optimized geometry
# E ... -4.116 eV per atom
data_Fe4F
_chemical_formula_sum 'Fe4 F1'
_symmetry_space_group_name_H-M 'P 1'
_symmetry_Int_Tables_number 1
_cell_length_a 4.153
_cell_length_b 4.153
_cell_length_c 4.153
_cell_angle_alpha 90.00
_cell_angle_beta 90.00
_cell_angle_gamma 90.00
loop_
_symmetry_equiv_pos_as_xyz
'x,y,z'
loop_
_atom_site_label
_atom_site_fract_x
_atom_site_fract_y
_atom_site_fract_z
F1 0.500 0.500 0.500
Fe1 0.500 0.000 0.500
Fe2 0.000 0.000 0.000
Fe3 0.500 0.500 0.000
Fe4 0.000 0.500 0.500

---

[4]
# GGA+U Ga3FeF, optimized geometry
# Energy above the most stable polymorph in this dataset ... 0 meV per atom
# E ... -3.305 eV per atom
data_Ga3FeF
_chemical_formula_sum 'Ga3 Fe1 F1'
_symmetry_space_group_name_H-M 'P 1'
_symmetry_Int_Tables_number 1
_cell_length_a 4.834
_cell_length_b 4.834
_cell_length_c 4.834
_cell_angle_alpha 90.00
_cell_angle_beta 90.00
_cell_angle_gamma 90.00
loop_
_symmetry_equiv_pos_as_xyz
'x,y,z'
loop_
_atom_site_label
_atom_site_fract_x
_atom_site_fract_y
_atom_site_fract_z
Ga1 0.000 0.000 0.500
Ga2 0.500 0.000 0.000
Ga3 0.000 0.500 0.000
F1 0.500 0.500 0.500
Fe1 0.000 0.000 0.000